Record 1
La2MgSc | SCAN | single point on PBEsol structure

a = 3.590 Å, b = 3.590 Å, c = 8.852 Å
α = 90.00°, β = 90.00°, γ = 90.00°
Positions (direct):
La  0.500  0.500  0.266
Mg  0.000  0.000  0.527
Sc  0.500  0.500  0.727
La  0.000  0.000  0.981

magnetization: 0.079 μB/atom
calculated formation energy: -0.008 eV per atom

Record 2
Ba2ScPd | SCAN | single point on PBEsol structure

a = 5.610 Å, b = 5.610 Å, c = 5.610 Å
α = 60.00°, β = 60.00°, γ = 60.00°
Positions (direct):
Ba  0.250  0.250  0.250
Ba  0.750  0.750  0.750
Sc  0.000  0.000  0.000
Pd  0.500  0.500  0.500

magnetization: 0.000 μB/atom
calculated formation energy: 0.310 eV per atom